No. 1
Na2AcMnO4: optimized geometry, PBE with a Hubbard U.

Lattice parameters (Å, degrees): 3.5977 6.2470 11.0487 90.00 90.00 106.74
Fractional positions:
Na  0.3816  0.7632  0.5372
Na  0.6184  0.2368  0.0372
Na  0.6184  0.2368  0.4628
Na  0.3816  0.7632  0.9628
Ac  0.0851  0.1702  0.7500
Ac  0.9149  0.8298  0.2500
Mn  0.8201  0.6403  0.7500
Mn  0.1799  0.3597  0.2500
O  0.2939  0.5879  0.1370
O  0.7061  0.4121  0.6370
O  0.7061  0.4121  0.8630
O  0.2939  0.5879  0.3630
O  0.0000  0.0000  0.5000
O  0.0000  0.0000  0.0000
O  0.4163  0.8326  0.7500
O  0.5837  0.1674  0.2500

Values from the calculation:
Space group: Cmcm, No. 63
E_tot (eV for the cell shown): -97.65

No. 2
NaAc2Mn2O6: optimized geometry, PBE with a Hubbard U.

Lattice parameters (Å, degrees): 5.8865 5.8865 6.8347 64.49 64.49 60.00
Fractional positions:
Na  0.0000  0.0000  0.0000
Ac  0.7941  0.7941  0.6176
Ac  0.2059  0.2059  0.3824
Mn  0.4444  0.4444  0.6668
Mn  0.5556  0.5556  0.3332
O  0.7469  0.7469  0.2889
O  0.2173  0.7469  0.2889
O  0.7469  0.2173  0.2889
O  0.2531  0.7827  0.7111
O  0.7827  0.2531  0.7111
O  0.2531  0.2531  0.7111

Values from the calculation:
Space group: R-3m, No. 166
E_tot (eV for the cell shown): -71.96

No. 3
NaAcMnO3: optimized geometry, PBE with a Hubbard U.

Lattice parameters (Å, degrees): 3.7601 5.6935 10.9227 90.00 90.00 109.28
Fractional positions:
Na  0.7569  0.5138  0.7500
Na  0.2431  0.4862  0.2500
Ac  0.0000  0.0000  0.5000
Ac  0.0000  0.0000  0.0000
Mn  0.4832  0.9663  0.7500
Mn  0.5168  0.0337  0.2500
O  0.6154  0.2309  0.4066
O  0.3846  0.7691  0.5934
O  0.3846  0.7691  0.9066
O  0.6154  0.2309  0.0934
O  0.0733  0.1466  0.7500
O  0.9267  0.8534  0.2500

Values from the calculation:
Space group: Cmcm, No. 63
E_tot (eV for the cell shown): -80.16

No. 4
NaAc3Mn2O9: optimized geometry, PBE with a Hubbard U.

Lattice parameters (Å, degrees): 5.6393 5.6393 6.9550 90.00 90.00 120.00
Fractional positions:
Na  0.0000  0.0000  0.5000
Ac  0.3333  0.6667  0.6628
Ac  0.0000  0.0000  0.0000
Ac  0.6667  0.3333  0.3372
Mn  0.3333  0.6667  0.1650
Mn  0.6667  0.3333  0.8350
O  0.8227  0.1773  0.6831
O  0.8227  0.6453  0.6831
O  0.3547  0.1773  0.6831
O  0.6453  0.8227  0.3169
O  0.1773  0.3547  0.3169
O  0.1773  0.8227  0.3169
O  0.5000  0.0000  0.0000
O  0.0000  0.5000  0.0000
O  0.5000  0.5000  0.0000

Values from the calculation:
Space group: P-3m1, No. 164
E_tot (eV for the cell shown): -110.22

No. 5
Na3Ac2MnO6: optimized geometry, PBE with a Hubbard U.

Lattice parameters (Å, degrees): 6.2413 6.2413 6.0305 98.88 98.88 120.47
Fractional positions:
Na  0.1256  0.8744  0.5000
Na  0.8744  0.1256  0.5000
Na  0.5000  0.5000  0.5000
Ac  0.3340  0.6660  0.0000
Ac  0.6660  0.3340  0.0000
Mn  0.0000  0.0000  0.0000
O  0.9413  0.6695  0.8033
O  0.7278  0.7278  0.2360
O  0.0587  0.3305  0.1967
O  0.6695  0.9413  0.8033
O  0.2722  0.2722  0.7640
O  0.3305  0.0587  0.1967

Values from the calculation:
Space group: C2/m, No. 12
E_tot (eV for the cell shown): -75.37

No. 6
Na4Ac3MnO8: optimized geometry, PBE with a Hubbard U.

Lattice parameters (Å, degrees): 7.1048 6.8534 7.5656 118.82 118.01 90.00
Fractional positions:
Na  0.5000  0.0000  0.0000
Na  0.5000  0.0000  0.5000
Na  0.0000  0.0000  0.0000
Na  0.0000  0.0000  0.5000
Ac  0.5000  0.5000  0.0000
Ac  0.5000  0.5000  0.5000
Ac  0.0000  0.5000  0.5000
Mn  0.0000  0.5000  0.0000
O  0.1752  0.6737  0.9518
O  0.2961  0.7871  0.5921
O  0.2769  0.2775  0.5537
O  0.7766  0.6737  0.9518
O  0.2234  0.3263  0.0482
O  0.7231  0.7225  0.4463
O  0.7039  0.2129  0.4079
O  0.8248  0.3263  0.0482

Values from the calculation:
Space group: C2/m, No. 12
E_tot (eV for the cell shown): -100.50

no.,total magnetization (μB per formula unit),V (Å³/f.u.)
1,3.99,118.9
2,3.00,177.9
3,5.00,110.4
4,5.98,191.5
5,3.96,192.4
6,4.02,272.5